# 1
First-principles (PBE) data for a relaxed PIrRh crystal, as listed in Alexandria.

Cell and atoms, written as POSCAR:
```
PIrRh
1.0
3.758 0.000 0.000
-1.879 3.254 0.000
0.000 0.000 3.614
P Ir Rh
1 1 1
direct
0.000 0.000 0.000
0.667 0.333 0.779
0.333 0.667 0.272
```

- calculated volume (Å³ per cell) = 44.2
- calculated formation energy (meV/atom) = -288
- energy above the most stable polymorph in this dataset (eV per atom) = 0.292
- total moment (μB per formula unit) = 0.0
- total energy (eV/atom) = -7.50

# 2
First-principles (PBE) data for a relaxed PIr2Rh crystal, as listed in Alexandria.

Cell and atoms, written as POSCAR:
```
PIr2Rh
1.0
3.856 0.000 0.000
0.000 3.856 0.000
0.000 0.000 3.746
P Ir Rh
1 2 1
direct
0.000 0.000 0.000
0.000 0.500 0.500
0.500 0.000 0.500
0.500 0.500 0.000
```

- calculated volume (Å³ per cell) = 55.7
- calculated formation energy (meV/atom) = 67
- total moment (μB per formula unit) = 0.0
- total energy (eV/atom) = -7.55

# 3
First-principles (PBE) data for a relaxed PIrRh2 crystal, as listed in Alexandria.

Cell and atoms, written as POSCAR:
```
PIrRh2
1.0
-2.474 2.474 6.213
2.474 -2.474 6.213
2.474 2.474 -6.213
P Ir Rh
2 2 4
direct
0.000 0.000 0.000
0.750 0.250 0.500
0.250 0.750 0.500
0.500 0.500 0.000
0.086 0.625 0.961
0.375 0.336 0.461
0.664 0.125 0.039
0.875 0.914 0.539
```

- calculated volume (Å³ per cell) = 152.1
- calculated formation energy (meV/atom) = 382
- total moment (μB per formula unit) = 0.0
- total energy (eV/atom) = -6.86

# 4
First-principles (PBE) data for a relaxed PIrRh2 crystal, as listed in Alexandria.

Cell and atoms, written as POSCAR:
```
PIrRh2
1.0
4.559 0.000 0.000
0.000 4.559 0.000
0.000 0.000 2.729
P Ir Rh
1 1 2
direct
0.000 0.000 0.000
0.500 0.500 0.000
0.000 0.500 0.500
0.500 0.000 0.500
```

- calculated volume (Å³ per cell) = 56.7
- calculated formation energy (meV/atom) = 94
- total moment (μB per formula unit) = 0.0
- total energy (eV/atom) = -7.15